Computed, not measured: a relaxed Tb4Sc3Ni2 crystal at the PBE-GGA level of DFT.

Cell: 3.4868 8.6095 8.2518 Å, 112.77 102.20 90.00°
Sites, in units of the cell vectors:
Tb 0.6249 0.8870 0.2498
Tb 0.7679 0.3411 0.5358
Tb 0.2321 0.6589 0.4642
Tb 0.3751 0.1130 0.7502
Ni 0.3884 0.5666 0.7768
Ni 0.6116 0.4334 0.2232
Sc 0.9336 0.8124 0.8673
Sc 0.0664 0.1876 0.1327
Sc 0.0000 0.5000 0.0000

Summary:
* E: -5.63 eV/atom
* space-group type: No. 12